Record 1
VASP calculation (PBE) on a relaxed structure of Cd2PW.

Calculated values
Total DFT energy (no corrections) ... -4.211 eV per atom
V ... 71.5 Å³/cell
SG ... No. 216
ΔH_f (0 K) ... 837 meV per atom
D(E_F) ... 2.7 states/eV/f.u.
M_tot ... 0.000 μB/atom

```
Cd2PW
1.0
-1.0300 3.8459 -2.4211
-3.2372 2.9536 1.5846
1.2575 4.1825 1.6246
Cd P W
2 1 1
Direct
0.0000 0.0000 0.0000
0.7500 0.7500 0.7500
0.5000 0.5000 0.5000
0.2500 0.2500 0.2500
```

Record 2
VASP calculation (PBE) on a relaxed structure of BaP2S2.

Calculated values
Total DFT energy (no corrections) ... -4.481 eV per atom
E_form (uncorrected) ... -1.41 eV per formula unit
V ... 115.0 Å³/cell
SG ... No. 139
D(E_F) ... 6.2 states/eV/f.u.
M_tot ... 0.000 μB/atom

```
BaP2S2
1.0
-4.8642 0.1044 -1.9166
1.8313 -1.3122 -4.7190
-1.9792 -4.6753 -2.3653
P S Ba
2 2 1
Direct
0.3765 0.3765 0.2469
0.6235 0.6235 0.7531
0.7500 0.2500 0.5000
0.2500 0.7500 0.5000
0.0000 0.0000 0.0000
```

Record 3
VASP calculation (PBE) on a relaxed structure of TaTc2Os.

Calculated values
Total DFT energy (no corrections) ... -10.835 eV per atom
V ... 61.7 Å³/cell
SG ... No. 160
ΔH_f (0 K) ... 119 meV per atom
D(E_F) ... 6.2 states/eV/f.u.
M_tot ... 0.000 μB/atom

```
TaTc2Os
1.0
-4.9498 -5.1032 -6.0781
-2.4669 -5.2752 -7.3193
-3.1312 -7.0527 -5.2860
Os Ta Tc
1 1 2
Direct
0.5036 0.5036 0.5036
0.7506 0.7506 0.7506
0.9954 0.9954 0.9954
0.2504 0.2504 0.2504
```

Record 4
VASP calculation (PBE) on a relaxed structure of NaLiTl2.

Calculated values
Total DFT energy (no corrections) ... -2.122 eV per atom
V ... 99.3 Å³/cell
SG ... No. 123
ΔH_f (0 K) ... -131 meV per atom
D(E_F) ... 1.4 states/eV/f.u.
M_tot ... 0.000 μB/atom

```
NaLiTl2
1.0
3.5029 0.0000 0.0000
0.0000 5.3245 0.0000
0.0000 0.0000 5.3245
Na Tl Li
1 2 1
Direct
0.5000 0.5000 0.5000
0.0000 0.0000 0.5000
0.0000 0.5000 0.0000
0.5000 0.0000 0.0000
```

Record 5
VASP calculation (PBE) on a relaxed structure of BaTcIr2.

Calculated values
Total DFT energy (no corrections) ... -6.776 eV per atom
V ... 78.8 Å³/cell
SG ... No. 44
ΔH_f (0 K) ... 726 meV per atom
D(E_F) ... 4.5 states/eV/f.u.
M_tot ... 0.000 μB/atom

```
BaTcIr2
1.0
6.0010 -0.0020 -0.0008
3.0484 5.1690 0.0008
-3.7544 -3.9325 2.5399
Ba Ir Tc
1 2 1
Direct
0.2504 0.7504 0.5000
0.9689 0.9689 0.0000
0.7438 0.2438 0.5000
0.5369 0.5369 0.0000
```

Record 6
VASP calculation (PBE) on a relaxed structure of LaMg2AlMo.

Calculated values
Total DFT energy (no corrections) ... -3.999 eV per atom
V ... 123.8 Å³/cell
SG ... No. 123
ΔH_f (0 K) ... 539 meV per atom
D(E_F) ... 5.4 states/eV/f.u.
M_tot ... 0.217 μB/atom

```
LaMg2AlMo
1.0
4.9760 0.0000 0.0000
0.0000 4.9997 0.0000
0.0000 0.0000 4.9760
Mg Mo Al La
2 1 1 1
Direct
0.0000 0.0000 0.5000
0.5000 0.0000 0.0000
0.0000 0.5000 0.0000
0.0000 0.0000 0.0000
0.5000 0.5000 0.5000
```